1.
Tb2BiRh | GGA-PBE | optimized geometry

The structure in POSCAR format:
```
Tb2BiRh
1.0
-1.0315 3.4504 -3.5250
-2.0558 -1.4091 -4.3799
-5.1581 1.2416 -0.8774
Rh Tb Bi
1 2 1
direct
0.5000 0.5000 0.5000
0.7569 0.7569 0.7293
0.2431 0.2431 0.2707
0.0000 0.0000 0.0000
```

Output
ΔH_f (0 K) = -13.71 kcal/mol of atoms
symmetry = No. 166
ρ = 10.51 Mg/m³

2.
Tb2BiRh2 | GGA-PBE | optimized geometry

The structure in POSCAR format:
```
Tb2BiRh2
1.0
-2.1250 4.2714 -0.9156
-3.0926 1.9142 3.2203
2.2064 4.5234 3.0943
Tb Bi Rh
2 1 2
direct
0.7182 0.7182 0.8455
0.2818 0.2818 0.1545
0.5000 0.5000 0.5000
0.9066 0.9066 0.2803
0.0934 0.0934 0.7197
```

Output
ΔH_f (0 K) = -13.55 kcal/mol of atoms
symmetry = No. 166
ρ = 11.45 Mg/m³

3.
Tb4Bi2Rh | GGA-PBE | optimized geometry

The structure in POSCAR format:
```
Tb4Bi2Rh
1.0
6.8736 0.0000 -1.0342
0.0000 6.6352 0.0000
-3.8191 0.0000 9.2821
Tb Bi Rh
8 4 2
direct
0.3556 0.4912 0.2010
0.1593 0.7500 0.8374
0.8407 0.2500 0.1626
0.3556 0.0088 0.2010
0.8690 0.2500 0.5677
0.6444 0.9912 0.7990
0.6444 0.5087 0.7990
0.1310 0.7500 0.4323
0.6732 0.7500 0.1164
0.3268 0.2500 0.8836
0.2988 0.2500 0.4792
0.7012 0.7500 0.5208
0.0167 0.7500 0.0571
0.9833 0.2500 0.9429
```

Output
ΔH_f (0 K) = -15.31 kcal/mol of atoms
symmetry = No. 11
ρ = 9.67 Mg/m³

4.
Tb3BiRh | GGA-PBE | optimized geometry

The structure in POSCAR format:
```
Tb3BiRh
1.0
4.3606 -0.0011 0.0000
0.0016 6.8718 0.0000
0.0000 0.0000 9.4390
Tb Bi Rh
6 2 2
direct
0.7500 0.7500 0.0929
0.2500 0.2500 0.9071
0.7500 0.9965 0.6505
0.7500 0.5035 0.6505
0.2500 0.0035 0.3495
0.2500 0.4965 0.3495
0.7500 0.2500 0.1458
0.2500 0.7500 0.8542
0.7500 0.7500 0.4014
0.2500 0.2500 0.5986
```

Output
ΔH_f (0 K) = -16.01 kcal/mol of atoms
symmetry = No. 59
ρ = 9.26 Mg/m³

5.
TbBiRh | GGA-PBE | optimized geometry

The structure in POSCAR format:
```
TbBiRh
1.0
-0.2597 3.5369 -0.3909
-1.3940 -0.5971 -4.4770
-3.2032 0.1486 3.4729
Rh Tb Bi
1 1 1
direct
0.1667 0.0000 0.0000
0.6667 0.6667 0.3333
0.1666 0.3333 0.6667
```

Output
ΔH_f (0 K) = -14.54 kcal/mol of atoms
symmetry = No. 187
ρ = 11.32 Mg/m³

6.
Tb12BiRh6 | GGA-PBE | optimized geometry

The structure in POSCAR format:
```
Tb12BiRh6
1.0
8.1476 0.0000 -2.8806
-4.0738 7.0560 -2.8806
0.0000 0.0000 8.6418
Tb Bi Rh
12 1 6
direct
0.3044 0.1140 0.8097
0.3044 0.4947 0.1903
0.6956 0.5053 0.8097
0.6956 0.8860 0.1903
0.1140 0.8097 0.3044
0.4947 0.1903 0.3044
0.5053 0.8097 0.6956
0.8860 0.1903 0.6956
0.8097 0.3044 0.1140
0.1903 0.3044 0.4947
0.8097 0.6956 0.5053
0.1903 0.6956 0.8860
0.0000 0.0000 0.0000
0.3695 0.5000 0.8695
0.6305 0.5000 0.1305
0.5000 0.8695 0.3695
0.5000 0.1305 0.6305
0.8695 0.3695 0.5000
0.1305 0.6305 0.5000
```

Output
ΔH_f (0 K) = -14.69 kcal/mol of atoms
symmetry = No. 204
ρ = 9.14 Mg/m³

7.
Tb3Bi4Rh3 | GGA-PBE | optimized geometry

The structure in POSCAR format:
```
Tb3Bi4Rh3
1.0
8.1244 0.0000 -2.8724
-4.0622 7.0360 -2.8724
0.0000 0.0000 8.6173
Tb Bi Rh
6 8 6
direct
0.6250 0.7500 0.8750
0.8750 0.2500 0.6250
0.1250 0.3750 0.2500
0.3750 0.1250 0.7500
0.2500 0.8750 0.1250
0.7500 0.6250 0.3750
0.0000 0.0000 0.3410
0.5000 0.3410 0.5000
0.6590 0.1590 0.1590
0.0000 0.0000 0.8410
0.8410 0.5000 0.0000
0.5000 0.8410 0.5000
0.3410 0.5000 0.0000
0.1590 0.6590 0.6590
0.1250 0.7500 0.3750
0.3750 0.2500 0.1250
0.6250 0.8750 0.2500
0.8750 0.6250 0.7500
0.2500 0.3750 0.6250
0.7500 0.1250 0.8750
```

Output
ΔH_f (0 K) = -14.54 kcal/mol of atoms
symmetry = No. 220
ρ = 10.93 Mg/m³

8.
Tb8Bi2Rh | GGA-PBE | optimized geometry

The structure in POSCAR format:
```
Tb8Bi2Rh
1.0
4.7359 0.0000 0.0000
0.0000 7.2373 0.6799
-2.3679 -2.1141 9.3192
Tb Bi Rh
8 2 1
direct
0.4057 0.4845 0.8114
0.6395 0.0425 0.2791
0.7857 0.6510 0.5714
0.9995 0.2279 0.9990
0.2143 0.3490 0.4286
0.3605 0.9575 0.7209
0.5943 0.5155 0.1886
0.0005 0.7721 0.0010
0.8170 0.2160 0.6339
0.1830 0.7840 0.3661
0.5000 0.0000 0.0000
```

Output
ΔH_f (0 K) = -9.94 kcal/mol of atoms
symmetry = No. 12
ρ = 9.12 Mg/m³

9.
Tb2BiRh | GGA-PBE | optimized geometry

The structure in POSCAR format:
```
Tb2BiRh
1.0
4.2931 0.0000 0.0000
0.0000 6.2784 -0.3227
0.0000 -2.5872 7.8613
Tb Bi Rh
4 2 2
direct
0.7500 0.2561 0.4534
0.2500 0.7439 0.5466
0.7500 0.6607 0.8950
0.2500 0.3393 0.1050
0.7500 0.1083 0.7934
0.2500 0.8917 0.2066
0.7500 0.6176 0.2936
0.2500 0.3824 0.7064
```

Output
ΔH_f (0 K) = -18.59 kcal/mol of atoms
symmetry = No. 11
ρ = 10.04 Mg/m³

10.
Tb6Bi2Rh | GGA-PBE | optimized geometry

The structure in POSCAR format:
```
Tb6Bi2Rh
1.0
-2.0947 -6.1347 -0.0476
3.0969 -1.1141 7.2983
-8.8504 3.3651 4.2692
Tb Bi Rh
12 4 2
direct
0.8708 0.9788 0.2489
0.8632 0.6780 0.5413
0.8635 0.6871 0.9596
0.6365 0.1871 0.5404
0.6368 0.1780 0.9587
0.6292 0.4788 0.2511
0.1292 0.0212 0.7511
0.1368 0.3220 0.4587
0.1365 0.3129 0.0404
0.3635 0.8129 0.4596
0.3632 0.8220 0.0413
0.3708 0.5212 0.7489
0.9029 0.3852 0.7524
0.5971 0.8852 0.7476
0.4029 0.1148 0.2524
0.0971 0.6148 0.2476
0.5000 0.5000 0.0000
0.0000 0.0000 0.5000
```

Output
ΔH_f (0 K) = -12.35 kcal/mol of atoms
symmetry = No. 14
ρ = 9.09 Mg/m³

11.
TbBiRh3 | GGA-PBE | optimized geometry

The structure in POSCAR format:
```
TbBiRh3
1.0
7.1705 -0.4108 -1.1811
-3.7997 6.0948 1.1811
-4.0927 -1.4144 5.8505
Tb Bi Rh
2 2 6
direct
0.0556 0.8056 0.7500
0.9444 0.1944 0.2500
0.5000 0.5000 0.0000
0.5000 0.0000 0.5000
0.5000 0.3813 0.3813
0.0000 0.6187 0.1187
0.5000 0.6187 0.6187
0.0000 0.3813 0.8813
0.5279 0.7779 0.2500
0.4721 0.2221 0.7500
```

Output
ΔH_f (0 K) = -5.76 kcal/mol of atoms
symmetry = No. 74
ρ = 10.00 Mg/m³

12.
Tb5Bi2Rh | GGA-PBE | optimized geometry

The structure in POSCAR format:
```
Tb5Bi2Rh
1.0
-2.7079 -0.4580 -5.2588
1.9895 -4.4972 2.7137
-14.4102 -1.8027 7.5771
Tb Bi Rh
10 4 2
direct
0.9344 0.8689 0.8989
0.9344 0.8689 0.6011
0.4034 0.8068 0.3610
0.4034 0.8068 0.1390
0.7490 0.4980 0.2500
0.2510 0.5020 0.7500
0.5966 0.1932 0.6390
0.5966 0.1932 0.8610
0.0656 0.1311 0.1011
0.0656 0.1311 0.3989
0.7229 0.4458 0.4427
0.7229 0.4458 0.0573
0.2771 0.5542 0.5573
0.2771 0.5542 0.9427
0.8244 0.6489 0.7500
0.1756 0.3511 0.2500
```

Output
ΔH_f (0 K) = -9.77 kcal/mol of atoms
symmetry = No. 63
ρ = 9.43 Mg/m³

13.
Tb8BiRh2 | GGA-PBE | optimized geometry

The structure in POSCAR format:
```
Tb8BiRh2
1.0
-4.4557 -1.2515 3.1513
-3.4229 -1.0514 -7.1121
4.6494 -6.0322 2.3234
Tb Bi Rh
8 1 2
direct
0.9215 0.9225 0.6661
0.9215 0.6661 0.9225
0.2993 0.6022 0.6022
0.5000 0.7515 0.2485
0.5000 0.2485 0.7515
0.7007 0.3978 0.3978
0.0785 0.3339 0.0775
0.0785 0.0775 0.3339
0.5000 0.0000 0.0000
0.0000 0.3008 0.6992
0.0000 0.6992 0.3008
```

Output
ΔH_f (0 K) = -9.69 kcal/mol of atoms
symmetry = No. 12
ρ = 8.92 Mg/m³

14.
TbBiRh2 | GGA-PBE | optimized geometry

The structure in POSCAR format:
```
TbBiRh2
1.0
3.6592 0.0000 0.0000
0.0000 4.6543 0.0000
0.0000 0.0000 4.6543
Rh Tb Bi
2 1 1
direct
0.0000 0.0000 0.5000
0.0000 0.5000 0.0000
0.5000 0.5000 0.5000
0.5000 0.0000 0.0000
```

Output
ΔH_f (0 K) = -12.50 kcal/mol of atoms
symmetry = No. 123
ρ = 12.02 Mg/m³

15.
TbBiRh4 | GGA-PBE | optimized geometry

The structure in POSCAR format:
```
TbBiRh4
1.0
5.3538 0.0000 0.0000
2.6769 4.6366 0.0000
2.6769 1.5455 4.3714
Rh Tb Bi
4 1 1
direct
0.6255 0.6255 0.1234
0.6255 0.1234 0.6255
0.6255 0.6255 0.6255
0.1234 0.6255 0.6255
0.2500 0.2500 0.2500
0.0000 0.0000 0.0000
```

Output
ΔH_f (0 K) = -8.94 kcal/mol of atoms
symmetry = No. 216
ρ = 11.93 Mg/m³

16.
Tb2BiRh | GGA-PBE | optimized geometry

The structure in POSCAR format:
```
Tb2BiRh
1.0
3.5768 0.0000 0.0000
0.0000 3.5768 0.0000
0.0000 0.0000 7.7852
Rh Tb Bi
1 2 1
direct
0.5000 0.5000 0.0000
0.0000 0.0000 0.7892
0.0000 0.0000 0.2108
0.5000 0.5000 0.5000
```

Output
ΔH_f (0 K) = -16.59 kcal/mol of atoms
symmetry = No. 123
ρ = 10.50 Mg/m³

17.
TcBiRh2 | GGA-PBE | optimized geometry

The structure in POSCAR format:
```
TcBiRh2
1.0
0.9469 -4.1319 -1.8197
-1.6267 -3.8273 1.9966
-3.3361 -2.4345 -2.0554
Rh Bi Tc
2 1 1
direct
0.2500 0.2500 0.2500
0.7500 0.7500 0.7500
0.5000 0.5000 0.5000
0.0000 0.0000 0.0000
```

Output
ΔH_f (0 K) = 8.79 kcal/mol of atoms
symmetry = No. 225
ρ = 12.27 Mg/m³

18.
Tc2BiRh | GGA-PBE | optimized geometry

The structure in POSCAR format:
```
Tc2BiRh
1.0
-3.3327 -3.8366 -2.8971
2.9403 -4.4156 2.4651
-3.9767 -4.1775 4.2012
Rh Bi Tc
2 2 4
direct
0.5000 0.5000 0.0000
0.2500 0.7500 0.5000
0.0000 0.0000 0.0000
0.7500 0.2500 0.5000
0.5763 0.1250 0.2500
0.1737 0.6250 0.2500
0.3750 0.4237 0.7500
0.8750 0.8263 0.7500
```

Output
ΔH_f (0 K) = 28.01 kcal/mol of atoms
symmetry = No. 122
ρ = 8.48 Mg/m³

19.
TcBi2Rh | GGA-PBE | optimized geometry

The structure in POSCAR format:
```
TcBi2Rh
1.0
0.0000 3.4225 3.4225
3.4225 0.0000 3.4225
3.4225 3.4225 0.0000
Rh Bi Tc
1 2 1
direct
0.5000 0.5000 0.5000
0.2500 0.2500 0.2500
0.7500 0.7500 0.7500
0.0000 0.0000 0.0000
```

Output
ΔH_f (0 K) = 9.11 kcal/mol of atoms
symmetry = No. 225
ρ = 12.82 Mg/m³

20.
TcBiRh2 | GGA-PBE | optimized geometry

The structure in POSCAR format:
```
TcBiRh2
1.0
-2.9113 0.1455 5.0268
-3.8321 -3.8254 -2.1087
-0.1243 -6.1995 3.4660
Rh Bi Tc
4 2 2
direct
0.5804 0.1250 0.2500
0.1696 0.6250 0.2500
0.3750 0.4196 0.7500
0.8750 0.8304 0.7500
0.0000 0.0000 0.0000
0.7500 0.2500 0.5000
0.5000 0.5000 0.0000
0.2500 0.7500 0.5000
```

Output
ΔH_f (0 K) = 16.66 kcal/mol of atoms
symmetry = No. 122
ρ = 8.70 Mg/m³

Number 1: uncorrected energy -5.718 eV/atom. Number 2: uncorrected energy -6.157 eV/atom. Number 3: uncorrected energy -5.469 eV/atom. Number 4: uncorrected energy -5.719 eV/atom. Number 5: uncorrected energy -5.918 eV/atom. Number 6: uncorrected energy -6.087 eV/atom. Number 7: uncorrected energy -5.777 eV/atom. Number 8: uncorrected energy -5.172 eV/atom. Number 9: uncorrected energy -5.930 eV/atom. Number 10: uncorrected energy -5.302 eV/atom. Number 11: uncorrected energy -6.363 eV/atom. Number 12: uncorrected energy -5.207 eV/atom. Number 13: uncorrected energy -5.477 eV/atom. Number 14: uncorrected energy -6.345 eV/atom. Number 15: uncorrected energy -6.707 eV/atom. Number 16: uncorrected energy -5.843 eV/atom. Number 17: uncorrected energy -6.856 eV/atom. Number 18: uncorrected energy -6.777 eV/atom. Number 19: uncorrected energy -5.975 eV/atom. Number 20: uncorrected energy -6.515 eV/atom.